Material: Ce4Ho9Er11
Method: DFT, PBE
State: relaxed

Summary:
* spin magnetization: 4.0 Bohr magnetons per cell
* energy relative to the elements: 0.10 eV per atom

The structure in POSCAR format:
```
Ce4Ho9Er11
1.0
8.279 -12.375 0.000
8.279 12.375 0.000
0.000 0.000 3.627
Ce Ho Er
4 9 11
Direct
0.053 0.251 0.000
0.251 0.053 0.000
0.749 0.947 0.000
0.947 0.749 0.000
0.000 0.000 0.000
0.135 0.661 0.000
0.286 0.432 0.000
0.339 0.865 0.000
0.432 0.286 0.000
0.568 0.714 0.000
0.661 0.135 0.000
0.714 0.568 0.000
0.865 0.339 0.000
0.091 0.452 0.500
0.137 0.863 0.500
0.214 0.214 0.500
0.342 0.658 0.500
0.452 0.091 0.500
0.500 0.500 0.500
0.548 0.909 0.500
0.658 0.342 0.500
0.786 0.786 0.500
0.863 0.137 0.500
0.909 0.548 0.500
```

Material: Re2TcHRu
Method: DFT, PBE
State: relaxed

Summary:
* total DFT energy (no corrections): -9.47 eV/atom
* spin magnetization: 0.0 Bohr magnetons per cell

The structure in POSCAR format:
```
Re2TcHRu
1.0
3.946 0.000 0.000
0.000 3.946 0.000
0.000 0.000 3.886
Re Tc H Ru
2 1 1 1
Direct
0.000 0.500 0.000
0.500 0.000 0.000
0.000 0.000 0.500
0.500 0.500 0.000
0.500 0.500 0.500
```

Material: BaCaCo2Au
Method: DFT, PBE
State: relaxed

Summary:
* spin magnetization: 3.2 Bohr magnetons per cell
* energy relative to the elements: 0.52 eV per atom

The structure in POSCAR format:
```
BaCaCo2Au
1.0
5.059 0.000 0.000
0.000 5.059 0.000
0.000 0.000 5.243
Ba Ca Co Au
1 1 2 1
Direct
0.000 0.000 0.000
0.500 0.500 0.000
0.000 0.500 0.500
0.500 0.000 0.500
0.500 0.500 0.500
```

Material: Pr8Ag2Pt
Method: DFT, PBE
State: relaxed

Summary:
* spin magnetization: 0.0 Bohr magnetons per cell
* energy relative to the elements: -0.21 eV per atom

The structure in POSCAR format:
```
Pr8Ag2Pt
1.0
3.956 -8.528 0.000
3.956 8.528 0.000
-3.807 0.000 5.113
Pr Ag Pt
8 2 1
Direct
0.000 0.000 0.000
0.045 0.424 0.048
0.046 0.789 0.361
0.356 0.576 0.697
0.424 0.045 0.048
0.538 0.538 0.264
0.576 0.356 0.697
0.789 0.046 0.361
0.504 0.945 0.587
0.945 0.504 0.587
0.173 0.173 0.707
```

Material: AgP2Br
Method: DFT, PBE
State: relaxed

Summary:
* spin magnetization: 0.0 Bohr magnetons per cell
* formation energy from raw total energies: 0.958 eV per atom

The structure in POSCAR format:
```
AgP2Br
1.0
6.678 0.000 0.000
0.000 6.678 0.000
0.000 0.000 6.678
Ag P Br
4 8 4
Direct
0.000 0.000 0.000
0.000 0.500 0.500
0.500 0.000 0.500
0.500 0.500 0.000
0.250 0.250 0.250
0.250 0.250 0.750
0.250 0.750 0.250
0.250 0.750 0.750
0.750 0.250 0.250
0.750 0.250 0.750
0.750 0.750 0.250
0.750 0.750 0.750
0.000 0.000 0.500
0.000 0.500 0.000
0.500 0.000 0.000
0.500 0.500 0.500
```

Material: DyTlNi
Method: DFT, PBE
State: relaxed

Summary:
* spin magnetization: 0.0 Bohr magnetons per cell
* energy relative to the elements: -0.22 eV per atom

The structure in POSCAR format:
```
DyTlNi
1.0
6.502 0.000 0.000
0.000 6.502 0.000
0.000 0.000 6.502
Dy Tl Ni
4 4 4
Direct
0.000 0.000 0.000
0.000 0.500 0.500
0.500 0.000 0.500
0.500 0.500 0.000
0.000 0.000 0.500
0.000 0.500 0.000
0.500 0.000 0.000
0.500 0.500 0.500
0.250 0.250 0.750
0.250 0.750 0.250
0.750 0.250 0.250
0.750 0.750 0.750
```

Material: RbTm2O3
Method: DFT, PBE
State: relaxed

Summary:
* spin magnetization: 0.0 Bohr magnetons per cell
* formation energy from raw total energies: -2.712 eV per atom

The structure in POSCAR format:
```
RbTm2O3
1.0
5.947 0.000 0.000
-2.973 5.150 0.000
0.000 0.000 3.107
Rb Tm O
1 2 3
Direct
0.000 0.000 0.000
0.333 0.667 0.500
0.667 0.333 0.500
0.000 0.500 0.000
0.500 0.000 0.000
0.500 0.500 0.000
```

Material: YTiVAg2
Method: DFT, PBE
State: relaxed

Summary:
* spin magnetization: 1.6 Bohr magnetons per cell
* energy relative to the elements: 1.56 eV per atom

The structure in POSCAR format:
```
YTiVAg2
1.0
5.158 0.000 0.000
0.000 5.158 0.000
0.000 0.000 4.745
Y Ti V Ag
1 1 1 2
Direct
0.000 0.000 0.000
0.500 0.500 0.500
0.000 0.000 0.500
0.000 0.500 0.000
0.500 0.000 0.000
```

Material: Ce3Ho4Te8
Method: DFT, PBE
State: relaxed

Summary:
* spin magnetization: 3.8 Bohr magnetons per cell
* formation energy from raw total energies: -1.355 eV per atom

The structure in POSCAR format:
```
Ce3Ho4Te8
1.0
6.211 -6.222 0.000
6.211 6.222 0.000
-6.174 0.000 6.223
Ce Ho Te
3 4 8
Direct
0.000 0.000 0.000
0.000 0.500 0.000
0.500 0.000 0.000
0.000 0.500 0.500
0.500 0.000 0.500
0.500 0.500 0.000
0.500 0.500 0.500
0.248 0.752 0.500
0.252 0.252 0.508
0.253 0.253 0.998
0.254 0.746 0.000
0.746 0.254 0.000
0.747 0.747 0.002
0.748 0.748 0.492
0.752 0.248 0.500
```

Material: Mn2IrOs
Method: DFT, PBE
State: relaxed

Summary:
* spin magnetization: 4.6 Bohr magnetons per cell
* energy relative to the elements: 0.05 eV per atom

The structure in POSCAR format:
```
Mn2IrOs
1.0
2.660 0.000 0.000
-1.330 2.303 0.000
0.000 0.000 25.388
Mn Ir Os
6 3 3
Direct
0.000 0.000 0.250
0.000 0.000 0.750
0.333 0.667 0.417
0.333 0.667 0.917
0.667 0.333 0.083
0.667 0.333 0.583
0.000 0.000 0.000
0.333 0.667 0.667
0.667 0.333 0.333
0.000 0.000 0.500
0.333 0.667 0.167
0.667 0.333 0.833
```

Material: LiAs2W
Method: DFT, PBE
State: relaxed

Summary:
* spin magnetization: 0.0 Bohr magnetons per cell
* energy relative to the elements: -0.19 eV per atom

The structure in POSCAR format:
```
LiAs2W
1.0
3.297 0.000 0.000
-1.649 2.855 0.000
0.000 0.000 22.845
Li As W
3 6 3
Direct
0.000 0.000 0.000
0.333 0.667 0.667
0.667 0.333 0.333
0.000 0.000 0.572
0.000 0.000 0.753
0.333 0.667 0.238
0.333 0.667 0.420
0.667 0.333 0.087
0.667 0.333 0.905
0.000 0.000 0.162
0.333 0.667 0.829
0.667 0.333 0.495
```

Material: Ge2RhPbAu
Method: DFT, PBE
State: relaxed

Summary:
* spin magnetization: 0.0 Bohr magnetons per cell
* energy relative to the elements: 0.10 eV per atom

The structure in POSCAR format:
```
Ge2RhPbAu
1.0
4.678 0.000 0.000
0.000 4.678 0.000
0.000 0.000 5.354
Ge Rh Pb Au
2 1 1 1
Direct
0.000 0.500 0.000
0.500 0.000 0.000
0.000 0.000 0.000
0.500 0.500 0.500
0.000 0.000 0.500
```